(1)
# CrFeTeN2, relaxed, DFT PBE
# Total moment = 3.0 μB per formula unit
# Energy relative to the lowest polymorph listed for this composition = 0.0 kJ/mol of atoms
# Formation energy from raw total energies = 730 meV/atom
# Mass density = 5.8 Mg/m³
data_CrFeTeN2
_chemical_formula_sum 'Cr1 Fe1 Te1 N2'
_space_group_name_H-M_alt 'P 4/m m m'
_space_group_IT_number 123
_space_group_name_Hall '-P 4 2'
_cell_length_a 3.696
_cell_length_b 3.696
_cell_length_c 5.567
_cell_angle_alpha 90.00
_cell_angle_beta 90.00
_cell_angle_gamma 90.00
loop_
_atom_site_label
_atom_site_fract_x
_atom_site_fract_y
_atom_site_fract_z
_atom_site_occupancy
Cr1 0.000 0.000 0.000 1
Fe1 0.500 0.500 0.500 1
Te1 0.000 0.000 0.500 1
N1 0.000 0.500 0.000 1


(2)
# Ba4Sr15Ca, relaxed, DFT PBE
# Total moment = 0.0 μB per formula unit
# ΔE_f = 0.0061 eV per atom
# Mass density = 2.8 Mg/m³
data_Ba4Sr15Ca
_chemical_formula_sum 'Ba4 Sr15 Ca1'
_space_group_name_H-M_alt 'P 4/m m m'
_space_group_IT_number 123
_space_group_name_Hall '-P 4 2'
_cell_length_a 6.079
_cell_length_b 6.079
_cell_length_c 30.406
_cell_angle_alpha 90.00
_cell_angle_beta 90.00
_cell_angle_gamma 90.00
loop_
_atom_site_label
_atom_site_fract_x
_atom_site_fract_y
_atom_site_fract_z
_atom_site_occupancy
Ba1 0.000 0.000 0.102 1
Ba2 0.000 0.000 0.305 1
Sr1 0.000 0.500 0.000 1
Sr2 0.000 0.500 0.204 1
Sr3 0.000 0.500 0.407 1
Sr4 0.500 0.500 0.102 1
Sr5 0.500 0.500 0.306 1
Sr6 0.500 0.500 0.500 1
Ca1 0.000 0.000 0.500 1


Question: total moment of number 2 (Ba4Sr15Ca)?
Answer: 0.0 μB per formula unit